(1)
! PBE-GGA Gd3AlIn2Ge2Pt, relaxed; values from VASP
&SYSTEM
  ibrav = 0, nat = 9, ntyp = 5
/
ATOMIC_SPECIES
Gd 157.25 Gd.upf
Ge 72.64 Ge.upf
Al 26.98 Al.upf
Pt 195.08 Pt.upf
In 114.82 In.upf
CELL_PARAMETERS angstrom
-0.5244 2.2116 -3.6820
3.6386 -5.2391 -3.6651
-7.2958 -0.1878 0.9262
ATOMIC_POSITIONS crystal
Gd 0.5000 0.9949 0.4082
Ge 0.0000 0.3305 0.6479
Al 0.0000 0.2380 0.2380
Gd 0.5000 0.4082 0.9949
Pt 0.5000 0.0324 0.0324
Ge 0.0000 0.6479 0.3305
In 0.0000 0.7603 0.0032
In 0.0000 0.0032 0.7603
Gd 0.5000 0.5845 0.5845
! E_tot   -5.08 eV/atom

(2)
! PBE-GGA ScCuReB, relaxed; values from VASP
&SYSTEM
  ibrav = 0, nat = 4, ntyp = 4
/
ATOMIC_SPECIES
B 10.81 B.upf
Cu 63.55 Cu.upf
Sc 44.96 Sc.upf
Re 186.21 Re.upf
CELL_PARAMETERS angstrom
1.9142 0.4242 3.8075
-1.6986 -1.8505 3.4687
1.9469 -3.3609 1.8042
ATOMIC_POSITIONS crystal
B 0.0000 0.0000 0.0000
Cu 0.7500 0.7500 0.7500
Sc 0.2500 0.2500 0.2500
Re 0.5000 0.5000 0.5000
! Relative energy among the computed polymorphs   253 meV/atom

(3)
! PBE-GGA ZnFeGeOs, relaxed; values from VASP
&SYSTEM
  ibrav = 0, nat = 4, ntyp = 4
/
ATOMIC_SPECIES
Zn 65.41 Zn.upf
Fe 55.84 Fe.upf
Ge 72.64 Ge.upf
Os 190.23 Os.upf
CELL_PARAMETERS angstrom
0.0000 3.0283 3.0283
3.0283 0.0000 3.0283
3.0283 3.0283 0.0000
ATOMIC_POSITIONS crystal
Zn 0.2500 0.2500 0.2500
Fe 0.7500 0.7500 0.7500
Ge 0.0000 0.0000 0.0000
Os 0.5000 0.5000 0.5000
! Relative energy among the computed polymorphs   236 meV/atom

(4)
! PBE-GGA Co7As, relaxed; values from VASP
&SYSTEM
  ibrav = 0, nat = 16, ntyp = 2
/
ATOMIC_SPECIES
Co 58.93 Co.upf
As 74.92 As.upf
CELL_PARAMETERS angstrom
2.5337 0.0000 0.0000
0.0000 3.4638 0.0000
0.0000 0.0000 33.0075
ATOMIC_POSITIONS crystal
Co 0.0000 0.0000 0.4441
Co 0.0000 0.0000 0.7433
Co 0.0000 0.0000 0.5187
Co 0.5000 0.5000 0.2567
Co 0.0000 0.0000 0.6685
Co 0.5000 0.5000 0.4065
Co 0.5000 0.5000 0.7048
As 0.5000 0.5000 0.7813
Co 0.5000 0.5000 0.3315
Co 0.5000 0.5000 0.5559
As 0.0000 0.0000 0.2187
Co 0.5000 0.5000 0.4813
Co 0.0000 0.0000 0.3692
Co 0.0000 0.0000 0.2952
Co 0.5000 0.5000 0.6308
Co 0.0000 0.0000 0.5935
! Relative energy among the computed polymorphs   0 meV/atom

(5)
! PBE-GGA PaInPO, relaxed; values from VASP
&SYSTEM
  ibrav = 0, nat = 8, ntyp = 4
/
ATOMIC_SPECIES
P 30.97 P.upf
In 114.82 In.upf
Pa 231.04 Pa.upf
O 16.00 O.upf
CELL_PARAMETERS angstrom
5.5811 0.0000 0.0000
0.0000 5.5811 0.0000
0.0000 0.0000 4.9578
ATOMIC_POSITIONS crystal
P 0.5000 0.0000 0.4342
In 0.0000 0.5000 0.0572
In 0.5000 0.0000 0.9428
P 0.0000 0.5000 0.5658
Pa 0.0000 0.0000 0.5000
O 0.0000 0.0000 0.0000
O 0.5000 0.5000 0.0000
Pa 0.5000 0.5000 0.5000
! Relative energy among the computed polymorphs   496 meV/atom

(6)
! PBE-GGA HfZn, relaxed; values from VASP
&SYSTEM
  ibrav = 0, nat = 12, ntyp = 2
/
ATOMIC_SPECIES
Hf 178.49 Hf.upf
Zn 65.41 Zn.upf
CELL_PARAMETERS angstrom
-2.8301 2.9710 2.0025
-8.3484 -5.2036 -4.0604
-0.1522 -2.6128 3.6614
ATOMIC_POSITIONS crystal
Hf 0.4173 0.9890 0.5000
Zn 0.4121 0.3527 0.5000
Zn 0.9146 0.6613 0.0000
Zn 0.4223 0.8238 0.0000
Zn 0.9122 0.8140 0.5000
Zn 0.4146 0.5053 0.0000
Hf 0.4217 0.1813 0.0000
Zn 0.9223 0.3429 0.0000
Hf 0.9173 0.1777 0.5000
Hf 0.9119 0.4898 0.5000
Hf 0.4118 0.6769 0.5000
Hf 0.9217 0.9854 0.0000
! Energy of formation   -100 meV/atom

(7)
! PBE-GGA RbTmSeO, relaxed; values from VASP
&SYSTEM
  ibrav = 0, nat = 16, ntyp = 4
/
ATOMIC_SPECIES
O 16.00 O.upf
Tm 168.93 Tm.upf
Rb 85.47 Rb.upf
Se 78.96 Se.upf
CELL_PARAMETERS angstrom
8.0912 0.0000 -0.1118
0.0000 7.3353 0.0000
-1.1208 0.0000 6.4174
ATOMIC_POSITIONS crystal
O 0.5876 0.3530 0.1151
Tm 0.4794 0.3718 0.7808
Rb 0.0892 0.7869 0.4793
Se 0.7439 0.9068 0.1305
Se 0.2561 0.4068 0.3695
Rb 0.0892 0.7131 0.9793
Tm 0.5206 0.6282 0.2191
O 0.5876 0.1470 0.6151
Tm 0.5206 0.8718 0.7192
Rb 0.9108 0.2869 0.0207
O 0.4124 0.6470 0.8849
Se 0.7439 0.5932 0.6305
O 0.4124 0.8530 0.3849
Tm 0.4794 0.1282 0.2809
Se 0.2561 0.0932 0.8695
Rb 0.9108 0.2131 0.5207
! Relative energy among the computed polymorphs   0 meV/atom

(8)
! PBE-GGA CoCu2Te, relaxed; values from VASP
&SYSTEM
  ibrav = 0, nat = 4, ntyp = 3
/
ATOMIC_SPECIES
Te 127.60 Te.upf
Cu 63.55 Cu.upf
Co 58.93 Co.upf
CELL_PARAMETERS angstrom
0.0000 3.0515 3.0515
3.0515 0.0000 3.0515
3.0515 3.0515 0.0000
ATOMIC_POSITIONS crystal
Te 0.5000 0.5000 0.5000
Cu 0.7500 0.7500 0.7500
Co 0.2500 0.2500 0.2500
Cu 0.0000 0.0000 0.0000
! E_tot   -4.12 eV/atom

The calculation returns the following total moment values, one per record and in order: 0.0 0.0 3.2 21.2 1.3 0.1 0.0 0.2 μB per cell.